Density functional theory data (PBE) for a relaxed structure of SrMgZn2H8.

Summary:
- Uncorrected energy: -2.903 eV per atom
- Spin magnetization: 0.0 Bohr magnetons per cell
- SG: P-3, No. 147

Lattice parameters (Å, degrees): 4.765 4.765 7.083 90.00 90.00 120.00
Element x y z (fractional)
Sr1 0.000 0.000 0.000
Mg1 0.000 0.000 0.500
Zn1 0.333 0.667 0.739
Zn2 0.667 0.333 0.261
H1 0.024 0.315 0.682
H2 0.291 0.976 0.682
H3 0.315 0.291 0.318
H4 0.333 0.667 0.974
H5 0.667 0.333 0.026
H6 0.685 0.709 0.682
H7 0.709 0.024 0.318
H8 0.976 0.685 0.318